Record 1
# HoBeB (PBE-GGA, optimized geometry)
# **Space-group type**: P-6m2 (187)
# **E**: -5.198 eV per atom
# **ΔE to the lowest computed polymorph**: 0.000 eV/atom
# **Magnetization**: 0.362 μB per cell
# **Formation enthalpy at 0 K**: -59 kJ/mol of formula units
# **Crystal system**: hexagonal
data_HoBeB
_chemical_formula_sum 'Ho1 Be1 B1'
_cell_length_a 3.865
_cell_length_b 3.533
_cell_length_c 3.533
_cell_angle_alpha 120.00
_cell_angle_beta 90.00
_cell_angle_gamma 90.00
_symmetry_space_group_name_H-M 'P 1'
_symmetry_Int_Tables_number 1
_symmetry_space_group_name_Hall 'P 1'
loop_
_atom_site_label
_atom_site_type_symbol
_atom_site_fract_x
_atom_site_fract_y
_atom_site_fract_z
_atom_site_occupancy
Be1 Be 0.167 0.667 0.333 1
Ho1 Ho 0.667 0.333 0.667 1
B1 B 0.167 0.000 0.000 1


Record 2
# HoBeB (PBE-GGA, optimized geometry)
# **Space-group type**: Cmcm (63)
# **E**: -5.054 eV per atom
# **ΔE to the lowest computed polymorph**: 0.145 eV/atom
# **Magnetization**: 0.000 μB per cell
# **Formation enthalpy at 0 K**: -17 kJ/mol of formula units
# **Crystal system**: orthorhombic
data_HoBeB
_chemical_formula_sum 'Ho2 Be2 B2'
_cell_length_a 3.859
_cell_length_b 3.945
_cell_length_c 6.366
_cell_angle_alpha 90.00
_cell_angle_beta 107.65
_cell_angle_gamma 90.00
_symmetry_space_group_name_H-M 'P 1'
_symmetry_Int_Tables_number 1
_symmetry_space_group_name_Hall 'P 1'
loop_
_atom_site_label
_atom_site_type_symbol
_atom_site_fract_x
_atom_site_fract_y
_atom_site_fract_z
_atom_site_occupancy
Ho1 Ho 0.152 0.292 0.303 1
Ho2 Ho 0.848 0.792 0.697 1
B1 B 0.372 0.292 0.744 1
B2 B 0.628 0.792 0.256 1
Be1 Be 0.500 0.042 0.000 1
Be2 Be 0.500 0.542 0.000 1


Record 3
# Ho3Be2B9 (PBE-GGA, optimized geometry)
# **Space-group type**: Immm (71)
# **E**: -5.869 eV per atom
# **Magnetization**: 0.000 μB per cell
# **Formation enthalpy at 0 K**: -85 kJ/mol of formula units
# **Crystal system**: orthorhombic
data_Ho3Be2B9
_chemical_formula_sum 'Ho3 Be2 B9'
_cell_length_a 3.166
_cell_length_b 6.964
_cell_length_c 6.964
_cell_angle_alpha 76.69
_cell_angle_beta 76.86
_cell_angle_gamma 76.86
_symmetry_space_group_name_H-M 'P 1'
_symmetry_Int_Tables_number 1
_symmetry_space_group_name_Hall 'P 1'
loop_
_atom_site_label
_atom_site_type_symbol
_atom_site_fract_x
_atom_site_fract_y
_atom_site_fract_z
_atom_site_occupancy
Ho1 Ho 0.000 0.000 0.000 1
Ho2 Ho 0.303 0.697 0.697 1
Ho3 Ho 0.697 0.303 0.303 1
B1 B 0.855 0.882 0.408 1
B2 B 0.338 0.347 0.977 1
B3 B 0.855 0.408 0.882 1
B4 B 0.145 0.118 0.592 1
B5 B 0.000 0.500 0.500 1
B6 B 0.145 0.592 0.118 1
B7 B 0.662 0.023 0.653 1
B8 B 0.338 0.977 0.347 1
B9 B 0.662 0.653 0.023 1
Be1 Be 0.500 0.293 0.707 1
Be2 Be 0.500 0.707 0.293 1


Please write out number 1 again, unchanged.
# HoBeB (PBE-GGA, optimized geometry)
# **Space-group type**: P-6m2 (187)
# **E**: -5.198 eV per atom
# **ΔE to the lowest computed polymorph**: 0.000 eV/atom
# **Magnetization**: 0.362 μB per cell
# **Formation enthalpy at 0 K**: -59 kJ/mol of formula units
# **Crystal system**: hexagonal
data_HoBeB
_chemical_formula_sum 'Ho1 Be1 B1'
_cell_length_a 3.865
_cell_length_b 3.533
_cell_length_c 3.533
_cell_angle_alpha 120.00
_cell_angle_beta 90.00
_cell_angle_gamma 90.00
_symmetry_space_group_name_H-M 'P 1'
_symmetry_Int_Tables_number 1
_symmetry_space_group_name_Hall 'P 1'
loop_
_atom_site_label
_atom_site_type_symbol
_atom_site_fract_x
_atom_site_fract_y
_atom_site_fract_z
_atom_site_occupancy
Be1 Be 0.167 0.667 0.333 1
Ho1 Ho 0.667 0.333 0.667 1
B1 B 0.167 0.000 0.000 1


Which formula does entry 1 have?
HoBeB